Material: ScCBr
Method: DFT, GGA-PBE
State: relaxed

## Properties
**Formation energy without anion corrections**: -0.662 eV per atom
**E**: -76.86 eV per cell
**Calculated volume**: 21.42 Å³ per atom

Geometry as CIF:
```
data_ScCBr
_chemical_formula_sum 'Sc4 C4 Br4'
_symmetry_space_group_name_H-M 'P 1'
_symmetry_Int_Tables_number 1
_cell_length_a 4.947
_cell_length_b 4.369
_cell_length_c 12.026
_cell_angle_alpha 90.00
_cell_angle_beta 98.49
_cell_angle_gamma 90.00
loop_
_symmetry_equiv_pos_as_xyz
'x,y,z'
loop_
_atom_site_label
_atom_site_type_symbol
_atom_site_fract_x
_atom_site_fract_y
_atom_site_fract_z
_atom_site_occupancy
Sc1 Sc 0.280 0.000 0.443 1
Br1 Br 0.711 0.500 0.809 1
Sc2 Sc 0.852 0.000 0.072 1
C1 C 0.436 0.500 0.491 1
C2 C 0.436 0.000 0.991 1
Sc3 Sc 0.280 0.500 0.943 1
C3 C 0.167 0.000 0.969 1
Br2 Br 0.120 0.000 0.663 1
Br3 Br 0.120 0.500 0.163 1
Br4 Br 0.711 0.000 0.309 1
Sc4 Sc 0.852 0.500 0.572 1
C4 C 0.167 0.500 0.469 1
```

***

Material: PtCN2
Method: DFT, GGA-PBE
State: relaxed

## Properties
**Formation energy without anion corrections**: 0.711 eV per atom
**E**: -29.07 eV per cell
**Calculated volume**: 11.56 Å³ per atom

Geometry as CIF:
```
data_PtCN2
_chemical_formula_sum 'Pt1 C1 N2'
_symmetry_space_group_name_H-M 'P 1'
_symmetry_Int_Tables_number 1
_cell_length_a 5.067
_cell_length_b 5.067
_cell_length_c 5.067
_cell_angle_alpha 38.94
_cell_angle_beta 38.94
_cell_angle_gamma 38.94
loop_
_symmetry_equiv_pos_as_xyz
'x,y,z'
loop_
_atom_site_label
_atom_site_type_symbol
_atom_site_fract_x
_atom_site_fract_y
_atom_site_fract_z
_atom_site_occupancy
N1 N 0.911 0.911 0.911 1
Pt1 Pt 0.500 0.500 0.500 1
N2 N 0.089 0.089 0.089 1
C1 C 0.000 0.000 0.000 1
```

***

Material: Zn2CuAgAs
Method: DFT, GGA-PBE
State: relaxed

## Properties
**E**: -11.59 eV per cell
**Formation energy**: 0.5104 eV per atom
**Calculated volume**: 20.01 Å³ per atom

Geometry as CIF:
```
data_Zn2CuAgAs
_chemical_formula_sum 'Zn2 Cu1 Ag1 As1'
_symmetry_space_group_name_H-M 'P 1'
_symmetry_Int_Tables_number 1
_cell_length_a 4.543
_cell_length_b 4.848
_cell_length_c 4.543
_cell_angle_alpha 90.00
_cell_angle_beta 90.00
_cell_angle_gamma 90.00
loop_
_symmetry_equiv_pos_as_xyz
'x,y,z'
loop_
_atom_site_label
_atom_site_type_symbol
_atom_site_fract_x
_atom_site_fract_y
_atom_site_fract_z
_atom_site_occupancy
Zn1 Zn 0.500 0.000 0.000 1
As1 As 0.500 0.500 0.500 1
Cu1 Cu 0.000 0.000 0.000 1
Ag1 Ag 0.000 0.500 0.000 1
Zn2 Zn 0.000 0.000 0.500 1
```

***

Material: RbPuP2Se8
Method: DFT, GGA-PBE
State: relaxed

## Properties
**Formation energy without anion corrections**: -0.430 eV per atom
**E**: -59.15 eV per cell
**Calculated volume**: 30.71 Å³ per atom

Geometry as CIF:
```
data_RbPuP2Se8
_chemical_formula_sum 'Rb1 Pu1 P2 Se8'
_symmetry_space_group_name_H-M 'P 1'
_symmetry_Int_Tables_number 1
_cell_length_a 6.480
_cell_length_b 6.480
_cell_length_c 10.803
_cell_angle_alpha 72.55
_cell_angle_beta 72.55
_cell_angle_gamma 60.00
loop_
_symmetry_equiv_pos_as_xyz
'x,y,z'
loop_
_atom_site_label
_atom_site_type_symbol
_atom_site_fract_x
_atom_site_fract_y
_atom_site_fract_z
_atom_site_occupancy
Se1 Se 0.405 0.689 0.838 1
Se2 Se 0.185 0.185 0.444 1
Se3 Se 0.689 0.068 0.838 1
Se4 Se 0.595 0.311 0.162 1
Se5 Se 0.311 0.932 0.162 1
P1 P 0.256 0.256 0.231 1
Se6 Se 0.068 0.405 0.838 1
Rb1 Rb 0.500 0.500 0.500 1
Se7 Se 0.815 0.815 0.556 1
Pu1 Pu 0.000 0.000 0.000 1
P2 P 0.744 0.744 0.769 1
Se8 Se 0.932 0.595 0.162 1
```